Record 1
! TmTiCd PBE relaxed; values from VASP
&SYSTEM
  ibrav = 0, nat = 6, ntyp = 3
/
ATOMIC_SPECIES
Cd 112.41 Cd.upf
Ti 47.87 Ti.upf
Tm 168.93 Tm.upf
CELL_PARAMETERS angstrom
3.189 0.000 0.000
-1.595 2.761 0.000
0.000 0.000 15.461
ATOMIC_POSITIONS angstrom
Cd 1.595 0.617 0.000
Cd 0.000 1.531 7.730
Ti 1.595 0.613 5.262
Ti 1.595 0.613 10.199
Tm 0.000 1.534 12.626
Tm 0.000 1.534 2.835
! Mass density: 8.0 g/cm3
! Formation enthalpy at 0 K: 126 meV/atom



Record 2
! K3N2Cl2 PBE relaxed; values from VASP
&SYSTEM
  ibrav = 0, nat = 7, ntyp = 3
/
ATOMIC_SPECIES
K 39.10 K.upf
N 14.01 N.upf
Cl 35.45 Cl.upf
CELL_PARAMETERS angstrom
5.216 -0.011 -1.000
-0.193 4.213 -0.896
-0.868 -0.208 9.494
ATOMIC_POSITIONS angstrom
K 0.000 0.000 0.000
K 1.126 1.297 5.856
K 3.029 2.696 1.742
N 2.585 0.574 -0.624
N 1.570 3.419 8.222
Cl 0.555 0.639 2.888
Cl 3.600 3.354 4.710
! Mass density: 1.8 g/cm3
! E_form (uncorrected): -1.070 eV/atom



Record 3
! FeSiC2 PBE relaxed; values from VASP
&SYSTEM
  ibrav = 0, nat = 4, ntyp = 3
/
ATOMIC_SPECIES
C 12.01 C.upf
Si 28.09 Si.upf
Fe 55.84 Fe.upf
CELL_PARAMETERS angstrom
2.591 0.003 0.000
-0.476 2.883 0.000
-0.697 -0.179 5.011
ATOMIC_POSITIONS angstrom
C 0.854 0.487 2.191
C -0.409 0.233 2.950
Si 0.669 1.900 0.873
Fe 1.302 1.518 4.047
! Mass density: 4.8 g/cm3
! E_form (uncorrected): 0.450 eV/atom



Record 4
! CdRe2Te PBE relaxed; values from VASP
&SYSTEM
  ibrav = 0, nat = 4, ntyp = 3
/
ATOMIC_SPECIES
Re 186.21 Re.upf
Te 127.60 Te.upf
Cd 112.41 Cd.upf
CELL_PARAMETERS angstrom
-3.237 -0.084 0.086
-0.033 -1.606 -2.812
0.239 -5.821 3.321
ATOMIC_POSITIONS angstrom
Re 0.005 -0.113 0.064
Re 0.115 -2.798 1.596
Te -1.575 -2.300 -0.533
Cd -1.456 -5.211 1.128
! Mass density: 14.5 g/cm3
! E_form (uncorrected): 0.941 eV/atom



Record 5
! NaLi2Zn2Au2 PBE relaxed; values from VASP
&SYSTEM
  ibrav = 0, nat = 7, ntyp = 4
/
ATOMIC_SPECIES
Na 22.99 Na.upf
Li 6.94 Li.upf
Zn 65.41 Zn.upf
Au 196.97 Au.upf
CELL_PARAMETERS angstrom
4.493 0.000 0.000
-2.247 3.928 -0.195
0.000 -1.765 7.739
ATOMIC_POSITIONS angstrom
Na 0.000 0.000 0.000
Li 2.247 -0.571 5.581
Li 0.000 2.735 1.963
Zn 0.000 0.185 2.984
Zn 2.247 1.978 4.560
Au 2.247 1.411 2.007
Au 0.000 0.752 5.537
! Mass density: 6.9 g/cm3
! Formation enthalpy at 0 K: -300 meV/atom



Record 6
! Be2Si2Ge PBE relaxed; values from VASP
&SYSTEM
  ibrav = 0, nat = 5, ntyp = 3
/
ATOMIC_SPECIES
Be 9.01 Be.upf
Ge 72.64 Ge.upf
Si 28.09 Si.upf
CELL_PARAMETERS angstrom
-3.658 -1.141 0.105
1.082 -3.323 1.575
-1.770 -0.275 5.300
ATOMIC_POSITIONS angstrom
Be -3.358 -1.824 3.123
Be -0.988 -2.915 3.858
Ge 0.000 0.000 0.000
Si -1.403 -1.766 1.902
Si -2.943 -2.973 5.079
! Mass density: 3.4 g/cm3
! E_form (uncorrected): 0.361 eV/atom



Record 7
! Rb2Mg3Pb9 PBE relaxed; values from VASP
&SYSTEM
  ibrav = 0, nat = 28, ntyp = 3
/
ATOMIC_SPECIES
Rb 85.47 Rb.upf
Mg 24.30 Mg.upf
Pb 207.20 Pb.upf
CELL_PARAMETERS angstrom
8.368 0.080 -3.446
-4.868 7.628 -0.133
1.059 0.509 13.938
ATOMIC_POSITIONS angstrom
Rb 2.346 2.304 9.291
Rb 2.213 5.915 1.069
Rb 6.324 4.882 6.931
Rb -1.764 3.337 3.429
Mg 4.184 0.040 -1.723
Mg 2.280 4.109 5.180
Mg 6.751 1.632 4.019
Mg -2.191 6.586 6.341
Mg -0.228 2.647 -0.622
Mg 4.787 5.572 10.982
Pb 0.208 7.377 8.826
Pb 4.352 0.841 1.534
Pb 2.853 5.803 8.022
Pb 1.706 2.415 2.338
Pb 1.754 5.570 11.298
Pb 2.806 2.649 -0.939
Pb -0.132 4.441 7.021
Pb 4.692 3.778 3.339
Pb 7.475 1.332 7.456
Pb -2.915 6.886 2.903
Pb -2.922 7.909 12.430
Pb 7.481 0.309 -2.070
Pb 4.346 1.667 6.092
Pb 0.214 6.551 4.268
Pb 3.596 6.886 4.795
Pb 0.964 1.332 5.564
Pb 6.197 2.771 10.280
Pb -1.637 5.447 0.080
! Mass density: 7.5 g/cm3
! Formation enthalpy at 0 K: -65 meV/atom